A plane-wave DFT calculation with GGA-PBE was carried out for a relaxed structure of Mg5AsRh6.

Geometry as CIF:
```
data_Mg5AsRh6
_chemical_formula_sum 'Mg10 As2 Rh12'
_cell_length_a 4.3874
_cell_length_b 6.2152
_cell_length_c 13.0734
_cell_angle_alpha 90.00
_cell_angle_beta 90.00
_cell_angle_gamma 90.00
_symmetry_space_group_name_H-M 'I m m m'
_symmetry_Int_Tables_number 71
_symmetry_space_group_name_Hall '-I 2 2'
loop_
_atom_site_label
_atom_site_type_symbol
_atom_site_fract_x
_atom_site_fract_y
_atom_site_fract_z
Mg1 Mg 0.0000 0.0000 0.0000
Mg2 Mg 0.0000 0.0000 0.3239
Mg3 Mg 0.0000 0.5000 0.3350
As1 As 0.0000 0.5000 0.0000
Rh1 Rh 0.0000 0.2319 0.5000
Rh2 Rh 0.0000 0.2599 0.1595
```

Summary:
DFT total energy = -5.30 eV per atom
DFT formation energy = -572 meV/atom
Total moment = 0.00 Bohr magnetons per cell
Fermi-level density of states = 3.82 states/eV/f.u.
V = 356 Å³ per cell